--- 1 ---
# Li3ScO

An optimized crystal structure of Li3ScO (PBE, Alexandria via LeMat-Bulk).

The structure belongs to space group Pm-3m (No. 221); the cell edges are 4.1743, 4.1743 and 4.1743 Å and the angles 90.00°, 90.00° and 90.00°. The distinct sites, in fractional coordinates, are Li at (0.0000, 0.0000, 0.5000), Sc at (0.5000, 0.5000, 0.5000) and O at (0.0000, 0.0000, 0.0000).

---

--- 2 ---
# Li3ScO

An optimized crystal structure of Li3ScO (PBE, Alexandria via LeMat-Bulk).

The structure belongs to space group Pm-3m (No. 221); the cell edges are 5.4320, 5.4320 and 5.4320 Å and the angles 90.00°, 90.00° and 90.00°. The distinct sites, in fractional coordinates, are Li at (0.0000, 0.0000, 0.5000), Sc at (0.0000, 0.0000, 0.0000) and O at (0.5000, 0.5000, 0.5000).

---

Most stable structure: 1

---

--- 1 ---
# LiSc2O3

An optimized crystal structure of LiSc2O3 (PBE, Alexandria via LeMat-Bulk).

The structure belongs to space group Pmc2_1 (No. 26); the cell edges are 2.9337, 8.3344 and 5.3717 Å and the angles 90.00°, 90.00° and 90.00°. The distinct sites, in fractional coordinates, are Li at (0.0000, 0.2153, 0.0000), Sc at (0.0000, 0.1068, 0.4825), Sc at (0.5000, 0.4836, 0.5805), O at (0.0000, 0.4128, 0.8418), O at (0.5000, 0.0619, 0.7933) and O at (0.5000, 0.2813, 0.3290).

---

--- 2 ---
# LiSc2O3

An optimized crystal structure of LiSc2O3 (PBE, Alexandria via LeMat-Bulk).

The structure belongs to space group Cmmm (No. 65); the cell edges are 4.3836, 13.1943 and 4.3285 Å and the angles 90.00°, 90.00° and 90.00°. The distinct sites, in fractional coordinates, are Li at (0.0000, 0.1725, 0.0000), Sc at (0.0000, 0.0000, 0.5000), Sc at (0.0000, 0.3295, 0.5000), Sc at (0.0000, 0.5000, 0.0000), O at (0.0000, 0.0000, 0.0000), O at (0.0000, 0.1670, 0.5000), O at (0.0000, 0.3369, 0.0000) and O at (0.0000, 0.5000, 0.5000).

---

Most stable structure: 2

---

--- 1 ---
# Li2ScTlO

An optimized crystal structure of Li2ScTlO (PBE, Alexandria via LeMat-Bulk).

The structure belongs to space group P4/mmm (No. 123); the cell edges are 5.8167, 5.8167 and 3.8321 Å and the angles 90.00°, 90.00° and 90.00°. The distinct sites, in fractional coordinates, are Li at (0.0000, 0.5000, 0.0000), Sc at (0.0000, 0.0000, 0.0000), Tl at (0.5000, 0.5000, 0.5000) and O at (0.0000, 0.0000, 0.5000).

---

--- 2 ---
# Li2ScTlO

An optimized crystal structure of Li2ScTlO (PBE, Alexandria via LeMat-Bulk).

The structure belongs to space group P4/mmm (No. 123); the cell edges are 4.4431, 4.4431 and 4.1010 Å and the angles 90.00°, 90.00° and 90.00°. The distinct sites, in fractional coordinates, are Li at (0.0000, 0.5000, 0.0000), Sc at (0.0000, 0.0000, 0.5000), Tl at (0.5000, 0.5000, 0.5000) and O at (0.0000, 0.0000, 0.0000).

---

Most stable structure: 2

---

--- 1 ---
# Li2SeO

An optimized crystal structure of Li2SeO (PBE, Alexandria via LeMat-Bulk).

The structure belongs to space group I-42d (No. 122); the cell edges are 6.7742, 6.7742 and 4.6402 Å and the angles 90.00°, 90.00° and 90.00°. The distinct sites, in fractional coordinates, are Li at (0.1246, 0.2500, 0.1250), Se at (0.0000, 0.0000, 0.5000) and O at (0.0000, 0.0000, 0.0000).

---

--- 2 ---
# Li2SeO

An optimized crystal structure of Li2SeO (PBE, Alexandria via LeMat-Bulk).

The structure belongs to space group Fm-3m (No. 225); the cell edges are 6.0311, 6.0311 and 6.0311 Å and the angles 90.00°, 90.00° and 90.00°. The distinct sites, in fractional coordinates, are Li at (0.2500, 0.2500, 0.2500), Se at (0.0000, 0.0000, 0.0000) and O at (0.0000, 0.0000, 0.5000).

---

Most stable structure: 1

---

--- 1 ---
# LiSe3O

An optimized crystal structure of LiSe3O (PBE, Alexandria via LeMat-Bulk).

The structure belongs to space group Pm-3m (No. 221); the cell edges are 4.5109, 4.5109 and 4.5109 Å and the angles 90.00°, 90.00° and 90.00°. The distinct sites, in fractional coordinates, are Li at (0.0000, 0.0000, 0.0000), Se at (0.0000, 0.5000, 0.5000) and O at (0.5000, 0.5000, 0.5000).

---

--- 2 ---
# LiSe3O

An optimized crystal structure of LiSe3O (PBE, Alexandria via LeMat-Bulk).

The structure belongs to space group Pm-3m (No. 221); the cell edges are 4.4757, 4.4757 and 4.4757 Å and the angles 90.00°, 90.00° and 90.00°. The distinct sites, in fractional coordinates, are Li at (0.0000, 0.0000, 0.0000), Se at (0.0000, 0.0000, 0.5000) and O at (0.5000, 0.5000, 0.5000).

---

Most stable structure: 1

---

--- 1 ---
# LiSe2O6

An optimized crystal structure of LiSe2O6 (PBE, Alexandria via LeMat-Bulk).

The structure belongs to space group Pc (No. 7); the cell edges are 5.5608, 7.5296 and 8.6033 Å and the angles 90.00°, 127.09° and 90.00°. The distinct sites, in fractional coordinates, are Li at (0.0000, 0.2055, 0.0000), Se at (0.2105, 0.2422, 0.6721), Se at (0.6889, 0.3638, 0.2343), O at (0.0556, 0.0572, 0.5524), O at (0.1739, 0.2923, 0.8436), O at (0.4297, 0.2724, 0.2464), O at (0.5562, 0.2802, 0.7396), O at (0.8551, 0.2261, 0.1748) and O at (0.9887, 0.4192, 0.4942).

---

--- 2 ---
# LiSe2O6

An optimized crystal structure of LiSe2O6 (PBE, Alexandria via LeMat-Bulk).

The structure belongs to space group Pc (No. 7); the cell edges are 5.1047, 9.5822 and 6.0520 Å and the angles 90.00°, 94.40° and 90.00°. The distinct sites, in fractional coordinates, are Li at (0.0000, 0.2502, 0.0000), Se at (0.4638, 0.0963, 0.7801), Se at (0.5362, 0.4037, 0.2209), O at (0.2154, 0.3874, 0.2101), O at (0.3009, 0.2452, 0.7859), O at (0.3434, 0.0024, 0.5270), O at (0.6567, 0.4972, 0.4748), O at (0.6990, 0.2548, 0.2146) and O at (0.7845, 0.1129, 0.7907).

---

Most stable structure: 1

---

--- 1 ---
# LiZr2Se2O2

An optimized crystal structure of LiZr2Se2O2 (PBE, Alexandria via LeMat-Bulk).

The structure belongs to space group P-4m2 (No. 115); the cell edges are 3.6394, 3.6394 and 9.0162 Å and the angles 90.00°, 90.00° and 90.00°. The distinct sites, in fractional coordinates, are Li at (0.0000, 0.0000, 0.0000), Zr at (0.0000, 0.5000, 0.3665), Se at (0.0000, 0.5000, 0.7964), O at (0.0000, 0.0000, 0.5000) and O at (0.5000, 0.5000, 0.5000).

---

--- 2 ---
# LiZr2Se2O2

An optimized crystal structure of LiZr2Se2O2 (PBE, Alexandria via LeMat-Bulk).

The structure belongs to space group P4mm (No. 99); the cell edges are 3.6116, 3.6116 and 9.2234 Å and the angles 90.00°, 90.00° and 90.00°. The distinct sites, in fractional coordinates, are Li at (0.0000, 0.0000, 0.0000), Zr at (0.0000, 0.0000, 0.2562), Zr at (0.5000, 0.5000, 0.9243), Se at (0.0000, 0.0000, 0.7545), Se at (0.5000, 0.5000, 0.3829) and O at (0.0000, 0.5000, 0.0595).

---

--- 3 ---
# LiZr2Se2O2

An optimized crystal structure of LiZr2Se2O2 (PBE, Alexandria via LeMat-Bulk).

The structure belongs to space group Pmm2 (No. 25); the cell edges are 3.4455, 4.1203 and 9.3175 Å and the angles 90.00°, 90.00° and 90.00°. The distinct sites, in fractional coordinates, are Li at (0.0000, 0.0000, 0.0000), Zr at (0.0000, 0.5000, 0.5702), Zr at (0.5000, 0.0000, 0.3261), Se at (0.0000, 0.5000, 0.8627), Se at (0.5000, 0.0000, 0.6328), O at (0.0000, 0.0000, 0.2081) and O at (0.5000, 0.5000, 0.3879).

---

Most stable structure: 1

---

--- 1 ---
# LiSi3O

An optimized crystal structure of LiSi3O (PBE, Alexandria via LeMat-Bulk).

The structure belongs to space group Pm-3m (No. 221); the cell edges are 4.2002, 4.2002 and 4.2002 Å and the angles 90.00°, 90.00° and 90.00°. The distinct sites, in fractional coordinates, are Li at (0.0000, 0.0000, 0.0000), Si at (0.0000, 0.5000, 0.5000) and O at (0.5000, 0.5000, 0.5000).

---

--- 2 ---
# LiSi3O

An optimized crystal structure of LiSi3O (PBE, Alexandria via LeMat-Bulk).

The structure belongs to space group Pm-3m (No. 221); the cell edges are 4.2575, 4.2575 and 4.2575 Å and the angles 90.00°, 90.00° and 90.00°. The distinct sites, in fractional coordinates, are Li at (0.0000, 0.0000, 0.0000), Si at (0.0000, 0.0000, 0.5000) and O at (0.5000, 0.5000, 0.5000).

---

Most stable structure: 1